(1)
# CoSe2Cl meta-GGA SCAN PBEsol geometry
data_CoSe2Cl
_chemical_formula_sum 'Co1 Se2 Cl1'
_symmetry_space_group_name_H-M 'P 4 m m'
_symmetry_Int_Tables_number 99
_cell_length_a 2.8409
_cell_length_b 2.8409
_cell_length_c 9.3796
_cell_angle_alpha 90.00
_cell_angle_beta 90.00
_cell_angle_gamma 90.00
loop_
_symmetry_equiv_pos_as_xyz
'x,y,z'
'-y,x,z'
'-x,-y,z'
'y,-x,z'
'-x,y,z'
'y,x,z'
'x,-y,z'
'-y,-x,z'
loop_
_atom_site_label
_atom_site_fract_x
_atom_site_fract_y
_atom_site_fract_z
Co1 0.0000 0.0000 0.0000
Se1 0.0000 0.0000 0.5407
Se2 0.5000 0.5000 0.8607
Cl1 0.5000 0.5000 0.1738
# E_tot: -16.1300 eV per atom
# Energy above the lowest structure with this stoichiometry: 399.9 meV per atom
# Raw formation energy: 0.92 eV per formula unit

(2)
# YSiCl2 meta-GGA SCAN PBEsol geometry
data_YSiCl2
_chemical_formula_sum 'Y3 Si3 Cl6'
_symmetry_space_group_name_H-M 'R -3 m'
_symmetry_Int_Tables_number 166
_symmetry_space_group_name_Hall '-R 3 2"'
_cell_length_a 3.3698
_cell_length_b 3.3698
_cell_length_c 29.2322
_cell_angle_alpha 90.00
_cell_angle_beta 90.00
_cell_angle_gamma 120.00
loop_
_atom_site_label
_atom_site_fract_x
_atom_site_fract_y
_atom_site_fract_z
Y1 0.0000 0.0000 0.0000
Si1 0.0000 0.0000 0.5000
Cl1 0.0000 0.0000 0.2711
# E_tot: -14.2942 eV per atom
# Energy above the lowest structure with this stoichiometry: 28.0 meV per atom
# Raw formation energy: -3.36 eV per formula unit

(3)
# Ti2TcRu meta-GGA SCAN PBEsol geometry
data_Ti2TcRu
_chemical_formula_sum 'Ti8 Tc4 Ru4'
_symmetry_space_group_name_H-M 'F m -3 m'
_symmetry_Int_Tables_number 225
_symmetry_space_group_name_Hall '-F 4 2 3'
_cell_length_a 6.1035
_cell_length_b 6.1035
_cell_length_c 6.1035
_cell_angle_alpha 90.00
_cell_angle_beta 90.00
_cell_angle_gamma 90.00
loop_
_atom_site_label
_atom_site_fract_x
_atom_site_fract_y
_atom_site_fract_z
Ti1 0.2500 0.2500 0.2500
Tc1 0.0000 0.0000 0.0000
Ru1 0.0000 0.0000 0.5000
# Energy of formation: -771 meV per atom
# E_tot: -26.2570 eV per atom

(4)
# MgMnBi2N meta-GGA SCAN PBEsol geometry
data_MgMnBi2N
_chemical_formula_sum 'Mg1 Mn1 Bi2 N1'
_symmetry_space_group_name_H-M 'P 4/m m m'
_symmetry_Int_Tables_number 123
_symmetry_space_group_name_Hall '-P 4 2'
_cell_length_a 4.8835
_cell_length_b 4.8835
_cell_length_c 4.9199
_cell_angle_alpha 90.00
_cell_angle_beta 90.00
_cell_angle_gamma 90.00
loop_
_atom_site_label
_atom_site_fract_x
_atom_site_fract_y
_atom_site_fract_z
Mg1 0.0000 0.0000 0.0000
Mn1 0.0000 0.0000 0.5000
Bi1 0.0000 0.5000 0.5000
N1 0.5000 0.5000 0.0000
# E_tot: -36.7765 eV per atom
# Raw formation energy: 5.80 eV per formula unit

(5)
# Zr2CdMo meta-GGA SCAN PBEsol geometry
data_Zr2CdMo
_chemical_formula_sum 'Zr2 Cd1 Mo1'
_symmetry_space_group_name_H-M 'P 4/m m m'
_symmetry_Int_Tables_number 123
_symmetry_space_group_name_Hall '-P 4 2'
_cell_length_a 3.3986
_cell_length_b 3.3986
_cell_length_c 6.7791
_cell_angle_alpha 90.00
_cell_angle_beta 90.00
_cell_angle_gamma 90.00
loop_
_atom_site_label
_atom_site_fract_x
_atom_site_fract_y
_atom_site_fract_z
Zr1 0.0000 0.0000 0.2241
Cd1 0.5000 0.5000 0.5000
Mo1 0.5000 0.5000 0.0000
# Energy of formation: -176 meV per atom
# E_tot: -31.8507 eV per atom

(6)
# TiCrSe2Br meta-GGA SCAN PBEsol geometry
data_TiCrSe2Br
_chemical_formula_sum 'Ti1 Cr1 Se2 Br1'
_symmetry_space_group_name_H-M 'P 4/m m m'
_symmetry_Int_Tables_number 123
_symmetry_space_group_name_Hall '-P 4 2'
_cell_length_a 4.8021
_cell_length_b 4.8021
_cell_length_c 4.8150
_cell_angle_alpha 90.00
_cell_angle_beta 90.00
_cell_angle_gamma 90.00
loop_
_atom_site_label
_atom_site_fract_x
_atom_site_fract_y
_atom_site_fract_z
Ti1 0.0000 0.0000 0.0000
Cr1 0.5000 0.5000 0.5000
Se1 0.0000 0.5000 0.5000
Br1 0.5000 0.5000 0.0000
# E_tot: -18.9811 eV per atom
# Raw formation energy: -0.87 eV per formula unit

(7)
# Cd2InSb meta-GGA SCAN PBEsol geometry
data_Cd2InSb
_chemical_formula_sum 'Cd4 In2 Sb2'
_symmetry_space_group_name_H-M 'I -4 m 2'
_symmetry_Int_Tables_number 119
_symmetry_space_group_name_Hall 'I -4 -2'
_cell_length_a 4.3464
_cell_length_b 4.3464
_cell_length_c 10.1577
_cell_angle_alpha 90.00
_cell_angle_beta 90.00
_cell_angle_gamma 90.00
loop_
_atom_site_label
_atom_site_fract_x
_atom_site_fract_y
_atom_site_fract_z
Cd1 0.0000 0.0000 0.0000
Cd2 0.0000 0.5000 0.2500
In1 0.0000 0.0000 0.5000
Sb1 0.0000 0.5000 0.7500
# E_tot: -32.7672 eV per atom
# Energy above the lowest structure with this stoichiometry: 0.0 meV per atom
# Raw formation energy: 0.41 eV per formula unit

(8)
# TaTiSn2Os meta-GGA SCAN PBEsol geometry
data_TaTiSn2Os
_chemical_formula_sum 'Ta1 Ti1 Sn2 Os1'
_symmetry_space_group_name_H-M 'P 4/m m m'
_symmetry_Int_Tables_number 123
_symmetry_space_group_name_Hall '-P 4 2'
_cell_length_a 4.9871
_cell_length_b 4.9871
_cell_length_c 4.5864
_cell_angle_alpha 90.00
_cell_angle_beta 90.00
_cell_angle_gamma 90.00
loop_
_atom_site_label
_atom_site_fract_x
_atom_site_fract_y
_atom_site_fract_z
Ta1 0.0000 0.0000 0.0000
Ti1 0.5000 0.5000 0.0000
Sn1 0.0000 0.5000 0.5000
Os1 0.5000 0.5000 0.5000
# Energy of formation: 1081 meV per atom
# E_tot: -44.1862 eV per atom

Q: E_tot of number 5 (Zr2CdMo)?
A: -31.8507 eV per atom